[1]
Here is crystalline Ti12Sb5S2 at its relaxed geometry from the Alexandria database. Energies are from PBE-GGA.

Cell lengths 8.3093, 8.3093, 8.0414 Å; angles 106.56, 106.56, 47.85 degrees
Last column: nearest neighbours and their distance in Å.
Positions (direct):
Ti1 0.0020 0.0020 0.1732  2 S 2.35
Ti2 0.0622 0.6217 0.9094  1 S 2.32
Ti3 0.1490 0.5880 0.4607  4 Sb 2.70-2.83, 2 Ti 2.86-2.96
Ti4 0.3783 0.9378 0.0906  1 S 2.32
Ti5 0.4120 0.8510 0.5393  4 Sb 2.70-2.83, 2 Ti 2.86-2.96
Ti6 0.4800 0.4800 0.7552  2 S 2.40
Ti7 0.5200 0.5200 0.2448  2 S 2.40
Ti8 0.5880 0.1490 0.4607  4 Sb 2.70-2.83, 2 Ti 2.86-2.96
Ti9 0.6217 0.0622 0.9094  1 S 2.32
Ti10 0.8510 0.4120 0.5393  4 Sb 2.70-2.83, 2 Ti 2.86-2.96
Ti11 0.9378 0.3783 0.0906  1 S 2.32
Ti12 0.9980 0.9980 0.8268  2 S 2.35
Sb1 0.0000 0.0000 0.5000  6 Ti 2.64-2.70
Sb2 0.2766 0.2766 0.6462  7 Ti 2.77-2.94
Sb3 0.3174 0.3174 0.1523  7 Ti 2.75-2.93
Sb4 0.6826 0.6826 0.8477  7 Ti 2.75-2.93
Sb5 0.7234 0.7234 0.3538  7 Ti 2.77-2.94
S1 0.2820 0.7180 0.0000  6 Ti 2.32-2.40
S2 0.7180 0.2820 0.0000  6 Ti 2.32-2.40

Output
As for the uncorrected formation energy: -0.354 eV/atom. Its space group is C2/m.

***

[2]
Here is crystalline CsCu3Re at its relaxed geometry from the Alexandria database. Energies are from PBE-GGA.

Cell lengths 5.1660, 5.1660, 5.1660 Å; angles 90.00, 90.00, 90.00 degrees
Last column: nearest neighbours and their distance in Å.
Positions (direct):
Cs1 0.0000 0.0000 0.0000  6 Cu 2.58
Cu1 0.0000 0.0000 0.5000  2 Cs 2.58
Cu2 0.0000 0.5000 0.0000  2 Cs 2.58
Cu3 0.5000 0.0000 0.0000  2 Cs 2.58
Re1 0.5000 0.5000 0.5000  12 Cu 3.65

Output
Its offset from the most stable computed form is 1611.2 meV/atom. Its space group is Pm-3m. As for the formation energy: 2794 meV per atom.